[1]
Here is an optimized crystal structure of Sc4SbSe2S from Alexandria. Energies are from GGA-PBE.

Values from the calculation:
Crystal system = monoclinic
Calculated volume = 169.12 Å³ per cell
SG = P2/m, No. 10
Final energy = -6.54 eV per atom

Cell: 6.7597 3.8798 6.8258 Å, 90.00 109.14 90.00°
Fractional coordinates of all 8 atoms:
Sc (0.2361, 0.0000, 0.2244)
Sc (0.2511, 0.5000, 0.7748)
Sc (0.7489, 0.5000, 0.2252)
Sc (0.7639, 0.0000, 0.7756)
Sb (0.0000, 0.0000, 0.5000)
Se (0.5000, 0.0000, 0.0000)
Se (0.5000, 0.5000, 0.5000)
S (0.0000, 0.5000, 0.0000)

---

[2]
Here is an optimized crystal structure of Sc6SbSe2S3 from Alexandria. Energies are from GGA-PBE.

Values from the calculation:
Crystal system = monoclinic
Calculated volume = 238.89 Å³ per cell
SG = C2/m, No. 12
Final energy = -6.74 eV per atom

Cell: 8.5992 8.5992 7.7469 Å, 103.94 103.94 25.49°
Fractional coordinates of all 12 atoms:
Sc (0.0058, 0.0058, 0.2265)
Sc (0.3244, 0.3244, 0.4344)
Sc (0.3387, 0.3387, 0.9032)
Sc (0.6613, 0.6613, 0.0968)
Sc (0.6756, 0.6756, 0.5656)
Sc (0.9942, 0.9942, 0.7735)
Sb (0.5000, 0.5000, 0.5000)
Se (0.1680, 0.1680, 0.8333)
Se (0.8320, 0.8320, 0.1667)
S (0.1660, 0.1660, 0.3289)
S (0.5000, 0.5000, 0.0000)
S (0.8340, 0.8340, 0.6711)

---

[3]
Here is an optimized crystal structure of Sc2SiSbS from Alexandria. Energies are from GGA-PBE.

Values from the calculation:
Crystal system = tetragonal
Calculated volume = 145.59 Å³ per cell
SG = P4/mmm, No. 123
Final energy = -4.77 eV per atom

Cell: 5.4142 5.4142 4.9668 Å, 90.00 90.00 90.00°
Fractional coordinates of all 5 atoms:
Sc (0.0000, 0.5000, 0.0000)
Sc (0.5000, 0.0000, 0.0000)
Si (0.0000, 0.0000, 0.5000)
Sb (0.0000, 0.0000, 0.0000)
S (0.5000, 0.5000, 0.5000)

---

[4]
Here is an optimized crystal structure of Sr2Sc2Sb2S from Alexandria. Energies are from GGA-PBE.

Values from the calculation:
Crystal system = tetragonal
Calculated volume = 402.63 Å³ per cell
SG = I4/mmm, No. 139
Final energy = -5.25 eV per atom

Cell: 4.8835 4.8835 16.8829 Å, 90.00 90.00 90.00°
Fractional coordinates of all 14 atoms:
Sr (0.0000, 0.0000, 0.1736)
Sr (0.0000, 0.0000, 0.8264)
Sr (0.5000, 0.5000, 0.3264)
Sr (0.5000, 0.5000, 0.6736)
Sc (0.0000, 0.5000, 0.0000)
Sc (0.0000, 0.5000, 0.5000)
Sc (0.5000, 0.0000, 0.0000)
Sc (0.5000, 0.0000, 0.5000)
Sb (0.0000, 0.0000, 0.3770)
Sb (0.0000, 0.0000, 0.6230)
Sb (0.5000, 0.5000, 0.1230)
Sb (0.5000, 0.5000, 0.8770)
S (0.0000, 0.0000, 0.0000)
S (0.5000, 0.5000, 0.5000)

---

[5]
Here is an optimized crystal structure of TbScSbS from Alexandria. Energies are from GGA-PBE.

Values from the calculation:
Crystal system = trigonal
Calculated volume = 288.54 Å³ per cell
SG = R3m, No. 160
Final energy = -6.11 eV per atom

Cell: 3.9366 3.9366 21.5019 Å, 90.00 90.00 120.00°
Fractional coordinates of all 12 atoms:
Tb (0.0000, 0.0000, 0.0000)
Tb (0.3333, 0.6667, 0.6667)
Tb (0.6667, 0.3333, 0.3333)
Sc (0.0000, 0.0000, 0.1589)
Sc (0.3333, 0.6667, 0.8256)
Sc (0.6667, 0.3333, 0.4923)
Sb (0.0000, 0.0000, 0.5726)
Sb (0.3333, 0.6667, 0.2393)
Sb (0.6667, 0.3333, 0.9059)
S (0.0000, 0.0000, 0.7517)
S (0.3333, 0.6667, 0.4184)
S (0.6667, 0.3333, 0.0850)

---

[6]
Here is an optimized crystal structure of ScSbTe2S from Alexandria. Energies are from GGA-PBE.

Values from the calculation:
Crystal system = tetragonal
Calculated volume = 140.12 Å³ per cell
SG = P4/mmm, No. 123
Polymorph energy (0 for the lowest one) = 0.000 eV/atom
Final energy = -4.02 eV per atom

Cell: 5.1865 5.1865 5.2087 Å, 90.00 90.00 90.00°
Fractional coordinates of all 5 atoms:
Sc (0.0000, 0.0000, 0.0000)
Sb (0.5000, 0.5000, 0.0000)
Te (0.0000, 0.5000, 0.5000)
Te (0.5000, 0.0000, 0.5000)
S (0.5000, 0.5000, 0.5000)

---

[7]
Here is an optimized crystal structure of ScSb2TeS from Alexandria. Energies are from GGA-PBE.

Values from the calculation:
Crystal system = tetragonal
Calculated volume = 160.34 Å³ per cell
SG = P4/mmm, No. 123
Polymorph energy (0 for the lowest one) = 0.190 eV/atom
Final energy = -3.98 eV per atom

Cell: 5.4983 5.4983 5.3038 Å, 90.00 90.00 90.00°
Fractional coordinates of all 5 atoms:
Sc (0.0000, 0.0000, 0.0000)
Sb (0.0000, 0.5000, 0.0000)
Sb (0.5000, 0.0000, 0.0000)
Te (0.0000, 0.0000, 0.5000)
S (0.5000, 0.5000, 0.5000)

---

[8]
Here is an optimized crystal structure of ScSb2TeS from Alexandria. Energies are from GGA-PBE.

Values from the calculation:
Crystal system = tetragonal
Calculated volume = 138.77 Å³ per cell
SG = P4/mmm, No. 123
Polymorph energy (0 for the lowest one) = 0.000 eV/atom
Final energy = -4.17 eV per atom

Cell: 5.1888 5.1888 5.1543 Å, 90.00 90.00 90.00°
Fractional coordinates of all 5 atoms:
Sc (0.0000, 0.0000, 0.0000)
Sb (0.0000, 0.5000, 0.5000)
Sb (0.5000, 0.0000, 0.5000)
Te (0.5000, 0.5000, 0.0000)
S (0.5000, 0.5000, 0.5000)